Density functional theory data (PBE-GGA) for crystalline LiNbGa2Ru at its relaxed geometry.

Cell lengths 4.2332, 4.1816, 4.2332 Å; angles 90.00, 90.00, 90.00 degrees
Last column: nearest neighbours and their distance in Å.
Sites, in units of the cell vectors:
Ru (0.0000, 0.5000, 0.0000)  2 Li 2.09
Li (0.0000, 0.0000, 0.0000)  2 Ru 2.09, 4 Ga 2.12
Ga (0.0000, 0.0000, 0.5000)  2 Li 2.12
Ga (0.5000, 0.0000, 0.0000)  2 Li 2.12
Nb (0.5000, 0.5000, 0.5000)  8 Ga 2.98, 4 Ru 2.99

Values from the calculation:
ΔE_f ... 0.4660 eV per atom
Crystal system ... tetragonal
Space group ... P4/mmm, No. 123

---

Density functional theory data (PBE-GGA) for crystalline Li2NbGaSi at its relaxed geometry.

Cell lengths 4.9378, 4.9378, 5.0138 Å; angles 90.00, 90.00, 90.00 degrees
Last column: nearest neighbours and their distance in Å.
Sites, in units of the cell vectors:
Ga (0.0000, 0.0000, 0.5000)  2 Nb 2.51
Si (0.5000, 0.5000, 0.5000)  4 Ga 3.49, 8 Li 3.52
Nb (0.0000, 0.0000, 0.0000)  4 Li 2.47, 2 Ga 2.51
Li (0.5000, 0.0000, 0.0000)  2 Nb 2.47
Li (0.0000, 0.5000, 0.0000)  2 Nb 2.47

Values from the calculation:
Raw formation energy ... 1.274 eV per atom
Crystal system ... tetragonal
Space group ... P4/mmm, No. 123

---

Density functional theory data (PBE-GGA) for crystalline LiTaNbGa2 at its relaxed geometry.

Cell lengths 4.8216, 4.3794, 4.8216 Å; angles 90.00, 90.00, 90.00 degrees
Last column: nearest neighbours and their distance in Å.
Sites, in units of the cell vectors:
Ga (0.5000, 0.0000, 0.0000)  2 Nb 2.41
Ga (0.0000, 0.0000, 0.5000)  2 Nb 2.41
Li (0.0000, 0.5000, 0.0000)  2 Nb 2.19
Nb (0.0000, 0.0000, 0.0000)  2 Li 2.19, 4 Ga 2.41
Ta (0.5000, 0.5000, 0.5000)  8 Ga 3.26, 4 Li 3.41

Values from the calculation:
ΔE_f ... 1.3330 eV per atom
Crystal system ... tetragonal
Space group ... P4/mmm, No. 123

---

Density functional theory data (PBE-GGA) for crystalline LiTiNb2Ga at its relaxed geometry.

Cell lengths 4.6856, 5.0012, 4.6856 Å; angles 90.00, 90.00, 90.00 degrees
Last column: nearest neighbours and their distance in Å.
Sites, in units of the cell vectors:
Nb (0.0000, 0.0000, 0.5000)  2 Ti 2.34
Nb (0.5000, 0.0000, 0.0000)  2 Ti 2.34
Ga (0.0000, 0.5000, 0.0000)  2 Ti 2.50
Li (0.5000, 0.5000, 0.5000)  4 Ga 3.31, 8 Nb 3.43
Ti (0.0000, 0.0000, 0.0000)  4 Nb 2.34, 2 Ga 2.50

Values from the calculation:
ΔE_f ... 0.8938 eV per atom
Crystal system ... tetragonal
Space group ... P4/mmm, No. 123

---

Density functional theory data (PBE-GGA) for crystalline LiNdGa at its relaxed geometry.

Cell lengths 3.4156, 4.8009, 4.8009 Å; angles 120.00, 90.00, 90.00 degrees
Last column: nearest neighbours and their distance in Å.
Sites, in units of the cell vectors:
Li (0.1672, 0.6667, 0.3333)  3 Ga 2.77
Ga (0.1663, 0.0000, 0.0000)  3 Li 2.77
Nd (0.6665, 0.3333, 0.6667)  6 Li 3.25-3.26, 6 Ga 3.26, 2 Nd 3.42

Values from the calculation:
ΔE_f ... -0.3447 eV per atom
Crystal system ... hexagonal
Space group ... P-6m2, No. 187

---

Density functional theory data (PBE-GGA) for crystalline LiNd3Ga2 at its relaxed geometry.

Cell lengths 3.6947, 3.6947, 11.5064 Å; angles 90.00, 90.00, 90.00 degrees
Last column: nearest neighbours and their distance in Å.
Sites, in units of the cell vectors:
Nd (0.0000, 0.0000, 0.0000)  8 Ga 3.25
Nd (0.0000, 0.0000, 0.3166)  4 Ga 3.12, 4 Li 3.36
Nd (0.0000, 0.0000, 0.6834)  4 Ga 3.12, 4 Li 3.36
Ga (0.5000, 0.5000, 0.1676)  8 Nd 3.12-3.25
Ga (0.5000, 0.5000, 0.8324)  8 Nd 3.12-3.25
Li (0.5000, 0.5000, 0.5000)  8 Nd 3.36, 4 Li 3.69

Values from the calculation:
ΔE_f ... -0.3584 eV per atom
Crystal system ... tetragonal
Space group ... P4/mmm, No. 123

---

Density functional theory data (PBE-GGA) for crystalline Li4Nd3Ga4 at its relaxed geometry.

Cell lengths 4.7152, 3.5013, 14.8353 Å; angles 96.78, 99.14, 90.00 degrees
Last column: nearest neighbours and their distance in Å.
Sites, in units of the cell vectors:
Ga (0.1841, 0.6841, 0.3683)  5 Li 2.67-2.91
Ga (0.8159, 0.3159, 0.6317)  5 Li 2.67-2.91
Ga (0.5474, 0.5474, 0.0949)  2 Li 2.69, 1 Ga 2.76
Ga (0.4526, 0.4526, 0.9051)  2 Li 2.69, 1 Ga 2.76
Li (0.9078, 0.4078, 0.8156)  3 Ga 2.67-2.69
Li (0.7431, 0.7431, 0.4862)  4 Ga 2.75-2.91, 4 Li 2.96
Li (0.2569, 0.2569, 0.5138)  4 Ga 2.75-2.91, 4 Li 2.96
Li (0.0922, 0.5922, 0.1844)  3 Ga 2.67-2.69
Nd (0.3576, 0.8576, 0.7152)  6 Ga 3.18-3.27, 6 Li 3.28-3.41, 2 Nd 3.50
Nd (0.6424, 0.1424, 0.2848)  6 Ga 3.18-3.27, 6 Li 3.28-3.41, 2 Nd 3.50
Nd (0.0000, 0.0000, 0.0000)  4 Li 3.20, 8 Ga 3.24, 2 Nd 3.50

Values from the calculation:
ΔE_f ... -0.3586 eV per atom
Crystal system ... orthorhombic
Space group ... Immm, No. 71

---

Density functional theory data (PBE-GGA) for crystalline Li3NdGa3 at its relaxed geometry.

Cell lengths 6.6804, 6.6804, 6.6804 Å; angles 90.00, 90.00, 90.00 degrees
Last column: nearest neighbours and their distance in Å.
Sites, in units of the cell vectors:
Li (0.5000, 0.2500, 0.0000)  4 Ga 2.36
Li (0.7500, 0.0000, 0.5000)  4 Ga 2.36
Li (0.0000, 0.5000, 0.2500)  4 Ga 2.36
Li (0.5000, 0.7500, 0.0000)  4 Ga 2.36
Li (0.2500, 0.0000, 0.5000)  4 Ga 2.36
Li (0.0000, 0.5000, 0.7500)  4 Ga 2.36
Ga (0.7500, 0.5000, 0.0000)  4 Li 2.36
Ga (0.5000, 0.0000, 0.7500)  4 Li 2.36
Ga (0.2500, 0.5000, 0.0000)  4 Li 2.36
Ga (0.0000, 0.7500, 0.5000)  4 Li 2.36
Ga (0.0000, 0.2500, 0.5000)  4 Li 2.36
Ga (0.5000, 0.0000, 0.2500)  4 Li 2.36
Nd (0.5000, 0.5000, 0.5000)  12 Li 3.73, 12 Ga 3.73
Nd (0.0000, 0.0000, 0.0000)  12 Li 3.73, 12 Ga 3.73

Values from the calculation:
ΔE_f ... 0.0961 eV per atom
Crystal system ... cubic
Space group ... Pm-3n, No. 223